Entry 1:
Compound: TaNbHRu2
Source: Alexandria
Functional: PBE
Structure: relaxed

Values from the calculation:
Electronic total energy   -8.91 eV per atom
Volume   65.9 Å³/cell
Symmetry   No. 123
Polymorph energy (0 for the lowest one)   0 meV/atom

Cell and atoms, written as extended XYZ:
```
5
Lattice="4.073 0.000 0.000 0.000 4.073 0.000 0.000 0.000 3.974" Properties=species:S:1:pos:R:3 pbc="T T T"
Ta 0.000 0.000 0.000
Nb 2.037 2.037 0.000
H 2.037 2.037 1.987
Ru 0.000 2.037 1.987
Ru 2.037 0.000 1.987
```

Entry 2:
Compound: TiSiTcPd
Source: Alexandria
Functional: PBE
Structure: relaxed

Values from the calculation:
Electronic total energy   -7.76 eV per atom
Volume   57.0 Å³/cell
Raw formation energy   -0.5407 eV per atom
Symmetry   No. 216

Cell and atoms, written as extended XYZ:
```
4
Lattice="0.000 3.055 3.055 3.055 0.000 3.055 3.055 3.055 0.000" Properties=species:S:1:pos:R:3 pbc="T T T"
Ti 0.000 0.000 0.000
Si 3.055 3.055 3.055
Tc 1.527 1.527 1.527
Pd 4.582 4.582 4.582
```

Entry 3:
Compound: CdBi3Pd7
Source: Alexandria
Functional: PBE
Structure: relaxed

Values from the calculation:
Electronic total energy   -4.68 eV per atom
Volume   423.1 Å³/cell
Symmetry   No. 63
Calculated formation energy   -0.23 eV per atom

Cell and atoms, written as extended XYZ:
```
22
Lattice="1.818 -10.690 0.000 1.818 10.690 0.000 0.000 0.000 10.885" Properties=species:S:1:pos:R:3 pbc="T T T"
Cd 1.818 8.840 8.164
Cd 1.818 -8.840 2.721
Bi 1.818 8.920 0.699
Bi 1.818 8.920 4.744
Bi 1.818 5.597 8.164
Bi 1.818 -5.597 2.721
Bi 1.818 -8.920 6.142
Bi 1.818 -8.920 10.186
Pd 1.818 6.158 0.788
Pd 1.818 6.158 4.654
Pd 1.818 3.308 1.139
Pd 1.818 3.308 4.303
Pd 1.818 2.802 8.164
Pd 1.818 0.285 1.356
Pd 1.818 0.285 4.087
Pd 1.818 -0.285 6.799
Pd 1.818 -0.285 9.529
Pd 1.818 -2.802 2.721
Pd 1.818 -3.308 6.582
Pd 1.818 -3.308 9.746
Pd 1.818 -6.158 6.231
Pd 1.818 -6.158 10.097
```

Entry 4:
Compound: MgTa2Mn
Source: Alexandria
Functional: PBE
Structure: relaxed

Values from the calculation:
Electronic total energy   -8.32 eV per atom
Volume   68.1 Å³/cell
Symmetry   No. 47
Calculated formation energy   0.29 eV per atom

Cell and atoms, written as extended XYZ:
```
4
Lattice="3.554 0.000 0.000 0.000 4.309 0.000 0.000 0.000 4.445" Properties=species:S:1:pos:R:3 pbc="T T T"
Mg 0.000 0.000 0.000
Ta 0.000 2.155 2.223
Ta 1.777 0.000 2.223
Mn 1.777 2.155 0.000
```

Entry 5:
Compound: CeCdSbN
Source: Alexandria
Functional: PBE
Structure: relaxed

Values from the calculation:
Electronic total energy   -5.29 eV per atom
Volume   91.8 Å³/cell
Raw formation energy   -0.4637 eV per atom
Symmetry   No. 107

Cell and atoms, written as extended XYZ:
```
4
Lattice="-1.685 1.685 8.088 1.685 -1.685 8.088 1.685 1.685 -8.088" Properties=species:S:1:pos:R:3 pbc="T T T"
Ce 0.000 0.000 0.000
Cd 0.000 0.000 5.314
Sb 0.000 0.000 10.727
N 0.000 0.000 8.430
```

Entry 6:
Compound: AcAsAu
Source: Alexandria
Functional: PBE
Structure: relaxed

Values from the calculation:
Electronic total energy   -4.72 eV per atom
Volume   84.0 Å³/cell
Symmetry   No. 107
Calculated formation energy   -0.71 eV per atom
Polymorph energy (0 for the lowest one)   254 meV/atom

Cell and atoms, written as extended XYZ:
```
3
Lattice="-2.154 2.154 4.525 2.154 -2.154 4.525 2.154 2.154 -4.525" Properties=species:S:1:pos:R:3 pbc="T T T"
Ac 0.000 0.000 0.000
As 0.000 0.000 3.297
Au 0.000 0.000 5.967
```